[1]
NdGdDy2In2: optimized geometry, GGA-PBE.

## Properties
calculated total energy	-4.36	eV/atom
space group	P-6m2

Structure (extended XYZ):
```
6
Lattice="5.4361 0.0000 0.0000 -2.7181 4.7078 0.0000 0.0000 0.0000 6.8000" Properties=species:S:1:pos:R:3 pbc="T T T"
Dy 0.0000 3.1385 1.7280
Dy 0.0000 3.1385 5.0719
Gd 0.0000 0.0000 3.4000
In 0.0000 0.0000 0.0000
In 2.7181 1.5693 3.4000
Nd 2.7181 1.5693 0.0000
```

***

[2]
AlCoReMo: optimized geometry, GGA-PBE.

## Properties
polymorph energy (0 for the lowest one)	0.00	eV per formula unit
space group	F-43m

Structure (extended XYZ):
```
4
Lattice="0.0000 3.0292 3.0292 3.0292 0.0000 3.0292 3.0292 3.0292 0.0000" Properties=species:S:1:pos:R:3 pbc="T T T"
Al 0.0000 0.0000 0.0000
Co 4.5438 4.5438 4.5438
Mo 3.0292 3.0292 3.0292
Re 1.5146 1.5146 1.5146
```